Computed, not measured: TaAuN2O at its PBEsol-relaxed geometry at the meta-GGA SCAN level of DFT.

Space-group type   P4/mmm (123)
Theoretical density   10.8 g cm⁻³
Formation energy from raw total energies   -0.066 eV per atom
V   13.0 A^3/atom

Lattice parameters (Å, degrees): 4.108 4.108 3.853 90.00 90.00 90.00
Element x y z (fractional)
Ta (0.000, 0.000, 0.000)
Au (0.500, 0.500, 0.500)
N (0.000, 0.500, 0.000)
N (0.500, 0.000, 0.000)
O (0.000, 0.000, 0.500)

=====

Computed, not measured: TcAuNO2 at its PBEsol-relaxed geometry at the meta-GGA SCAN level of DFT.

Space-group type   P4/mmm (123)
Theoretical density   8.9 g cm⁻³
Formation energy from raw total energies   1.084 eV per atom
V   12.7 A^3/atom

Lattice parameters (Å, degrees): 4.033 4.033 3.903 90.00 90.00 90.00
Element x y z (fractional)
Tc (0.000, 0.000, 0.000)
Au (0.500, 0.500, 0.500)
N (0.500, 0.500, 0.000)
O (0.000, 0.500, 0.500)
O (0.500, 0.000, 0.500)